Record 1
# PBE-GGA Pb2Au7, relaxed
# - ΔE to the lowest computed polymorph: 138 meV/atom
# - VASP energy: -29.3 eV/f.u.
# - Volume: 28.68 Å³ per atom
# - Calculated density: 11.54 g cm⁻³
data_Pb2Au7
_symmetry_space_group_name_H-M 'P -3 m 1'
_symmetry_Int_Tables_number 164
_symmetry_space_group_name_Hall '-P 3 2"'
_cell_length_a 3.0950
_cell_length_b 3.0950
_cell_length_c 31.1202
_cell_angle_alpha 90.00
_cell_angle_beta 90.00
_cell_angle_gamma 120.00
loop_
_atom_site_label
_atom_site_fract_x
_atom_site_fract_y
_atom_site_fract_z
Pb1 0.3333 0.6667 0.2983
Au1 0.0000 0.0000 0.0000
Au2 0.0000 0.0000 0.2168
Au3 0.3333 0.6667 0.0718
Au4 0.3333 0.6667 0.8561

---

Record 2
# PBE-GGA PdPb2Au, relaxed
# - VASP energy: -15.5 eV/f.u.
# - Volume: 22.90 Å³ per atom
# - Calculated density: 13.01 g cm⁻³
data_PdPb2Au
_symmetry_space_group_name_H-M 'F -4 3 m'
_symmetry_Int_Tables_number 216
_symmetry_space_group_name_Hall 'F -4 2 3'
_cell_length_a 7.156
_cell_length_b 7.156
_cell_length_c 7.156
_cell_angle_alpha 90.00
_cell_angle_beta 90.00
_cell_angle_gamma 90.00
loop_
_atom_site_label
_atom_site_fract_x
_atom_site_fract_y
_atom_site_fract_z
Pd1 0.000 0.000 0.000
Pb1 0.000 0.000 0.500
Pb2 0.250 0.250 0.750
Au1 0.250 0.250 0.250

---

Record 3
# PBE-GGA Pd3Pb5Au, relaxed
# - VASP energy: -37.8 eV/f.u.
# - Volume: 24.74 Å³ per atom
# - Calculated density: 11.58 g cm⁻³
data_Pd3Pb5Au
_symmetry_space_group_name_H-M 'P 6/m m m'
_symmetry_Int_Tables_number 191
_symmetry_space_group_name_Hall '-P 6 2'
_cell_length_a 5.6401
_cell_length_b 5.6401
_cell_length_c 8.0822
_cell_angle_alpha 90.00
_cell_angle_beta 90.00
_cell_angle_gamma 120.00
loop_
_atom_site_label
_atom_site_fract_x
_atom_site_fract_y
_atom_site_fract_z
Pd1 0.0000 0.5000 0.0000
Pb1 0.0000 0.0000 0.0000
Pb2 0.3333 0.6667 0.3027
Au1 0.0000 0.0000 0.5000

---

Record 4
# PBE-GGA PdPbAu2, relaxed
# - VASP energy: -15.7 eV/f.u.
# - Volume: 19.50 Å³ per atom
# - Calculated density: 15.06 g cm⁻³
data_PdPbAu2
_symmetry_space_group_name_H-M 'F -4 3 m'
_symmetry_Int_Tables_number 216
_symmetry_space_group_name_Hall 'F -4 2 3'
_cell_length_a 6.782
_cell_length_b 6.782
_cell_length_c 6.782
_cell_angle_alpha 90.00
_cell_angle_beta 90.00
_cell_angle_gamma 90.00
loop_
_atom_site_label
_atom_site_fract_x
_atom_site_fract_y
_atom_site_fract_z
Pd1 0.000 0.000 0.000
Pb1 0.250 0.250 0.750
Au1 0.000 0.000 0.500
Au2 0.250 0.250 0.250

---

Please write out number 4 again, unchanged.
# PBE-GGA PdPbAu2, relaxed
# - VASP energy: -15.7 eV/f.u.
# - Volume: 19.50 Å³ per atom
# - Calculated density: 15.06 g cm⁻³
data_PdPbAu2
_symmetry_space_group_name_H-M 'F -4 3 m'
_symmetry_Int_Tables_number 216
_symmetry_space_group_name_Hall 'F -4 2 3'
_cell_length_a 6.782
_cell_length_b 6.782
_cell_length_c 6.782
_cell_angle_alpha 90.00
_cell_angle_beta 90.00
_cell_angle_gamma 90.00
loop_
_atom_site_label
_atom_site_fract_x
_atom_site_fract_y
_atom_site_fract_z
Pd1 0.000 0.000 0.000
Pb1 0.250 0.250 0.750
Au1 0.000 0.000 0.500
Au2 0.250 0.250 0.250